Material: Tm4InCu3
Method: DFT, GGA-PBE
State: optimized geometry

a = 3.4965 Å, b = 4.9926 Å, c = 9.8962 Å
α = 90.00°, β = 90.00°, γ = 90.00°
Last column: nearest neighbours and their distance in Å.
Element x y z (fractional)
Tm1 0.0000 0.0000 0.0000  8 Cu 3.03-3.05, 4 Tm 3.39
Tm2 0.0000 0.0000 0.5000  4 Cu 3.02, 4 In 3.05
Tm3 0.0000 0.5000 0.2321  6 Cu 2.89-3.05, 2 In 3.18
Tm4 0.0000 0.5000 0.7679  6 Cu 2.89-3.05, 2 In 3.18
In1 0.5000 0.5000 0.5000  8 Tm 3.05-3.18
Cu1 0.5000 0.0000 0.2507  8 Tm 3.02-3.05
Cu2 0.5000 0.0000 0.7493  8 Tm 3.02-3.05
Cu3 0.5000 0.5000 0.0000  8 Tm 2.89-3.05

ΔH_f (0 K)	-0.292	eV/atom
V	172.8	Å³/cell

Material: ZnRh2Au
Method: DFT, GGA-PBE
State: optimized geometry

a = 2.9813 Å, b = 2.9813 Å, c = 6.7728 Å
α = 90.00°, β = 90.00°, γ = 90.00°
Last column: nearest neighbours and their distance in Å.
Element x y z (fractional)
Zn1 0.0000 0.0000 0.0000  8 Rh 2.60
Rh1 0.5000 0.5000 0.2238  4 Zn 2.60, 4 Au 2.82
Rh2 0.5000 0.5000 0.7762  4 Zn 2.60, 4 Au 2.82
Au1 0.0000 0.0000 0.5000  8 Rh 2.82, 4 Au 2.98

ΔH_f (0 K)	-0.039	eV/atom
V	60.2	Å³/cell

Material: HfNbRe2Si
Method: DFT, GGA-PBE
State: optimized geometry

a = 4.4314 Å, b = 4.4314 Å, c = 4.7328 Å
α = 90.00°, β = 90.00°, γ = 90.00°
Last column: nearest neighbours and their distance in Å.
Element x y z (fractional)
Hf1 0.0000 0.0000 0.0000  2 Si 2.37
Nb1 0.5000 0.5000 0.0000  4 Hf 3.13, 8 Re 3.24
Re1 0.0000 0.5000 0.5000  2 Si 2.22
Re2 0.5000 0.0000 0.5000  2 Si 2.22
Si1 0.0000 0.0000 0.5000  4 Re 2.22, 2 Hf 2.37

energy	-9.296	eV/atom
V	92.9	Å³/cell

Material: KPr2Zn
Method: DFT, GGA-PBE
State: optimized geometry

a = 12.5346 Å, b = 12.5346 Å, c = 12.5346 Å
α = 17.27°, β = 17.27°, γ = 17.27°
Last column: nearest neighbours and their distance in Å.
Element x y z (fractional)
K1 0.0000 0.0000 0.0000  6 K 3.76, 2 Pr 4.00
Pr1 0.1081 0.1081 0.1081  3 Zn 3.07
Pr2 0.8919 0.8919 0.8919  3 Zn 3.07
Zn1 0.5000 0.5000 0.5000  6 Pr 3.07

ΔH_f (0 K)	0.130	eV/atom
V	151.4	Å³/cell

Material: La6Pm12Nd
Method: DFT, GGA-PBE
State: optimized geometry

a = 9.7460 Å, b = 9.7460 Å, c = 9.7460 Å
α = 110.89°, β = 110.89°, γ = 110.89°
Last column: nearest neighbours and their distance in Å.
Element x y z (fractional)
La1 0.0540 0.5789 0.3687  9 Pm 3.67-3.71, 3 La 3.69-3.70
La2 0.3687 0.0540 0.5789  9 Pm 3.67-3.71, 3 La 3.69-3.70
La3 0.4211 0.6313 0.9460  9 Pm 3.67-3.71, 3 La 3.69-3.70
La4 0.5789 0.3687 0.0540  9 Pm 3.67-3.71, 3 La 3.69-3.70
La5 0.6313 0.9460 0.4211  9 Pm 3.67-3.71, 3 La 3.69-3.70
La6 0.9460 0.4211 0.6313  9 Pm 3.67-3.71, 3 La 3.69-3.70
Pm1 0.1053 0.1567 0.7376  6 Pm 3.67-3.70, 1 Nd 3.67, 5 La 3.68-3.71
Pm2 0.1567 0.7376 0.1053  1 Nd 3.67, 6 Pm 3.67-3.70, 5 La 3.68-3.71
Pm3 0.2101 0.3147 0.4725  4 La 3.67-3.70, 7 Pm 3.67-3.70, 1 Nd 3.68
Pm4 0.2624 0.8947 0.8433  1 Nd 3.67, 6 Pm 3.67-3.70, 5 La 3.68-3.71
Pm5 0.3147 0.4725 0.2101  4 La 3.67-3.70, 7 Pm 3.67-3.70, 1 Nd 3.68
Pm6 0.4725 0.2101 0.3147  4 La 3.67-3.70, 7 Pm 3.67-3.70, 1 Nd 3.68
Pm7 0.5275 0.7899 0.6853  4 La 3.67-3.70, 7 Pm 3.67-3.70, 1 Nd 3.68
Pm8 0.6853 0.5275 0.7899  4 La 3.67-3.70, 7 Pm 3.67-3.70, 1 Nd 3.68
Pm9 0.7376 0.1053 0.1567  6 Pm 3.67-3.70, 1 Nd 3.67, 5 La 3.68-3.71
Pm10 0.7899 0.6853 0.5275  4 La 3.67-3.70, 7 Pm 3.67-3.70, 1 Nd 3.68
Pm11 0.8433 0.2624 0.8947  6 Pm 3.67-3.70, 1 Nd 3.67, 5 La 3.68-3.71
Pm12 0.8947 0.8433 0.2624  6 Pm 3.67-3.70, 1 Nd 3.67, 5 La 3.68-3.71
Nd1 0.0000 0.0000 0.0000  12 Pm 3.67-3.68

ΔH_f (0 K)	0.018	eV/atom
excess energy over the best structure of this formula in the dataset	0.0000	eV per atom
V	672.6	Å³/cell

Material: BeSn2AsC
Method: DFT, GGA-PBE
State: optimized geometry

a = 5.6124 Å, b = 5.6124 Å, c = 3.9120 Å
α = 90.00°, β = 90.00°, γ = 90.00°
Last column: nearest neighbours and their distance in Å.
Element x y z (fractional)
Be1 0.0000 0.0000 0.0000  2 As 1.96
Sn1 0.0000 0.5000 0.5000  2 As 2.81
Sn2 0.5000 0.0000 0.5000  2 As 2.81
As1 0.0000 0.0000 0.5000  2 Be 1.96
C1 0.5000 0.5000 0.0000  8 Sn 3.42

ΔH_f (0 K)	1.646	eV/atom
V	123.2	Å³/cell

Material: RbBa2Na2
Method: DFT, GGA-PBE
State: optimized geometry

a = 11.6977 Å, b = 11.6977 Å, c = 4.3417 Å
α = 90.00°, β = 90.00°, γ = 90.00°
Last column: nearest neighbours and their distance in Å.
Element x y z (fractional)
Rb1 0.0000 0.0000 0.0000  2 Rb 4.34, 4 Ba 4.60
Rb2 0.5000 0.5000 0.0000  2 Rb 4.34, 4 Ba 4.60
Ba1 0.1281 0.3719 0.0000  6 Na 4.06-4.07, 3 Ba 4.24-4.34
Ba2 0.3719 0.8719 0.0000  6 Na 4.06-4.07, 3 Ba 4.24-4.34
Ba3 0.6281 0.1281 0.0000  6 Na 4.06-4.07, 3 Ba 4.24-4.34
Ba4 0.8719 0.6281 0.0000  6 Na 4.06-4.07, 3 Ba 4.24-4.34
Na1 0.1643 0.6643 0.5000  6 Ba 4.06-4.07, 2 Na 4.34
Na2 0.3357 0.1643 0.5000  6 Ba 4.06-4.07, 2 Na 4.34
Na3 0.6643 0.8357 0.5000  6 Ba 4.06-4.07, 2 Na 4.34
Na4 0.8357 0.3357 0.5000  6 Ba 4.06-4.07, 2 Na 4.34

ΔH_f (0 K)	0.099	eV/atom
excess energy over the best structure of this formula in the dataset	0.0362	eV per atom
V	594.1	Å³/cell

Material: CaZnSi2S6
Method: DFT, GGA-PBE
State: optimized geometry

a = 8.6668 Å, b = 8.6668 Å, c = 6.5727 Å
α = 104.60°, β = 104.60°, γ = 88.18°
Last column: nearest neighbours and their distance in Å.
Element x y z (fractional)
Ca1 0.1201 0.8799 0.7500  6 S 2.76-2.91
Ca2 0.8799 0.1201 0.2500  6 S 2.76-2.91
Zn1 0.2344 0.7656 0.2500  4 S 2.29-2.54
Zn2 0.7656 0.2344 0.7500  4 S 2.29-2.54
Si1 0.2262 0.3760 0.7911  4 S 2.13-2.19
Si2 0.3760 0.2262 0.2911  4 S 2.13-2.19
Si3 0.6240 0.7738 0.7089  4 S 2.13-2.19
Si4 0.7738 0.6240 0.2089  4 S 2.13-2.19
S1 0.0415 0.1956 0.6829  1 Si 2.13
S2 0.1356 0.6039 0.9081  1 Si 2.13, 1 Zn 2.29
S3 0.1956 0.0415 0.1829  1 Si 2.13
S4 0.3089 0.4241 0.5233  2 Si 2.16-2.19
S5 0.3961 0.8644 0.5919  1 Si 2.13, 1 Zn 2.29
S6 0.4241 0.3089 0.0233  2 Si 2.16-2.19
S7 0.5759 0.6911 0.9767  2 Si 2.16-2.19
S8 0.6039 0.1356 0.4081  1 Si 2.13, 1 Zn 2.29
S9 0.6911 0.5759 0.4767  2 Si 2.16-2.19
S10 0.8044 0.9585 0.8171  1 Si 2.13
S11 0.8644 0.3961 0.0919  1 Si 2.13, 1 Zn 2.29
S12 0.9585 0.8044 0.3171  1 Si 2.13

energy	-4.768	eV/atom
V	462.1	Å³/cell

Material: Pr5As4O
Method: DFT, GGA-PBE
State: optimized geometry

a = 7.2812 Å, b = 7.2812 Å, c = 7.2812 Å
α = 99.95°, β = 99.95°, γ = 130.87°
Last column: nearest neighbours and their distance in Å.
Element x y z (fractional)
Pr1 0.0000 0.0000 0.0000  1 O 2.28
Pr2 0.1480 0.3391 0.6135  1 O 2.88, 5 As 2.99-3.03
Pr3 0.3391 0.7257 0.1911  1 O 2.88, 5 As 2.99-3.03
Pr4 0.5346 0.1480 0.8089  1 O 2.88, 5 As 2.99-3.03
Pr5 0.7257 0.5346 0.3865  1 O 2.88, 5 As 2.99-3.03
As1 0.0315 0.6364 0.7942  6 Pr 2.97-3.03
As2 0.2374 0.0315 0.3951  6 Pr 2.97-3.03
As3 0.6364 0.8423 0.6049  6 Pr 2.97-3.03
As4 0.8423 0.2374 0.2058  6 Pr 2.97-3.03
O1 0.3771 0.3771 0.0000  1 Pr 2.28

energy	-6.420	eV/atom
V	265.5	Å³/cell

Material: CaHo2Rh9
Method: DFT, GGA-PBE
State: optimized geometry

a = 9.2386 Å, b = 9.2386 Å, c = 9.2386 Å
α = 33.16°, β = 33.16°, γ = 33.16°
Last column: nearest neighbours and their distance in Å.
Element x y z (fractional)
Ca1 0.0000 0.0000 0.0000  6 Rh 3.04
Ho1 0.1382 0.1382 0.1382  12 Rh 3.01-3.30
Ho2 0.8618 0.8618 0.8618  12 Rh 3.01-3.30
Rh1 0.0825 0.5833 0.5833  7 Rh 2.63-2.67
Rh2 0.3330 0.3330 0.3330  6 Rh 2.64-2.66
Rh3 0.4167 0.4167 0.9175  7 Rh 2.63-2.67
Rh4 0.4167 0.9175 0.4167  7 Rh 2.63-2.67
Rh5 0.5000 0.5000 0.5000  6 Rh 2.67
Rh6 0.5833 0.0825 0.5833  7 Rh 2.63-2.67
Rh7 0.5833 0.5833 0.0825  7 Rh 2.63-2.67
Rh8 0.6670 0.6670 0.6670  6 Rh 2.64-2.66
Rh9 0.9175 0.4167 0.4167  7 Rh 2.63-2.67

ΔH_f (0 K)	-0.481	eV/atom
V	210.0	Å³/cell

Material: YMo2Pt
Method: DFT, GGA-PBE
State: optimized geometry

a = 5.5444 Å, b = 5.5444 Å, c = 5.5444 Å
α = 142.36°, β = 134.51°, γ = 60.47°
Last column: nearest neighbours and their distance in Å.
Element x y z (fractional)
Y1 0.0000 0.0000 0.0000  4 Pt 2.79, 4 Mo 2.99
Mo1 0.2504 0.7504 0.5000  4 Mo 2.79, 2 Pt 2.99, 2 Y 2.99
Mo2 0.7496 0.2496 0.5000  4 Mo 2.79, 2 Pt 2.99, 2 Y 2.99
Pt1 0.5000 0.5000 0.0000  4 Y 2.79, 4 Mo 2.99

ΔH_f (0 K)	0.016	eV/atom
excess energy over the best structure of this formula in the dataset	0.1526	eV per atom
V	73.5	Å³/cell

Material: PrEr2Hg3
Method: DFT, GGA-PBE
State: optimized geometry

a = 3.7346 Å, b = 3.7346 Å, c = 11.3350 Å
α = 90.00°, β = 90.00°, γ = 90.00°
Last column: nearest neighbours and their distance in Å.
Element x y z (fractional)
Pr1 0.0000 0.0000 0.0000  8 Hg 3.37, 4 Pr 3.73
Er1 0.0000 0.0000 0.3386  8 Hg 3.16-3.21
Er2 0.0000 0.0000 0.6614  8 Hg 3.16-3.21
Hg1 0.5000 0.5000 0.1850  4 Er 3.16, 4 Pr 3.37
Hg2 0.5000 0.5000 0.5000  8 Er 3.21, 2 Hg 3.57
Hg3 0.5000 0.5000 0.8150  4 Er 3.16, 4 Pr 3.37

ΔH_f (0 K)	-0.475	eV/atom
V	158.1	Å³/cell